Computed, not measured: PrVO2 after structural relaxation at the PBE+U level of DFT.

The structure in extended XYZ format:
```
12
Lattice="3.344 0.000 0.000 -1.672 2.896 0.000 0.000 0.000 19.677" Properties=species:S:1:pos:R:3 pbc="T T T"
Pr 0.000 0.000 0.000
Pr 0.000 1.930 13.118
Pr 1.672 0.965 6.559
V 0.000 0.000 9.838
V 0.000 1.930 3.279
V 1.672 0.965 16.397
O 0.000 0.000 2.315
O 0.000 0.000 17.362
O 0.000 1.930 10.803
O 0.000 1.930 15.433
O 1.672 0.965 4.244
O 1.672 0.965 8.874
```

## Properties
uncorrected energy: -7.284 eV/atom
total magnetic moment: 6.99 Bohr magnetons per cell